This record from Alexandria describes Ca2CrWO6 after structural relaxation. The functional is GGA+U.

- Space group: P2_1/c
- Crystal system: monoclinic
- Polymorph energy (0 for the lowest one): 0.00 kcal/mol of atoms
- Total magnetic moment: 4.0 μB per formula unit

Cell lengths 5.442, 5.608, 7.835 Å; angles 90.00, 90.15, 90.00 degrees
Atoms (fractional coordinates):
Ca (0.990, 0.048, 0.251)
Ca (0.510, 0.548, 0.249)
Ca (0.010, 0.952, 0.749)
Ca (0.490, 0.452, 0.751)
Cr (0.500, 0.000, 0.000)
Cr (0.000, 0.500, 0.500)
W (0.500, 0.000, 0.500)
W (0.000, 0.500, 0.000)
O (0.704, 0.294, 0.447)
O (0.796, 0.794, 0.053)
O (0.296, 0.706, 0.553)
O (0.204, 0.206, 0.947)
O (0.211, 0.203, 0.545)
O (0.289, 0.703, 0.955)
O (0.789, 0.797, 0.455)
O (0.711, 0.297, 0.045)
O (0.092, 0.465, 0.250)
O (0.408, 0.965, 0.250)
O (0.592, 0.035, 0.750)
O (0.908, 0.535, 0.750)